## CaH4Au (PBE-GGA)

Data for a geometry-optimized CaH4Au structure.

Cell: 4.0918 4.5853 4.5853 Å, 63.70 64.54 64.54°
Fractional positions:
Ca (0.0018, 0.5027, 0.4987)
H (0.6795, 0.0831, 0.5718)
H (0.3243, 0.9223, 0.4256)
H (0.3243, 0.4296, 0.9183)
H (0.6794, 0.5758, 0.0791)
Au (0.5018, 0.0027, 0.9987)

Total energy = -3.292 eV per atom
Space-group type = C2/m
Crystal system = monoclinic

***

## BeZnRh2 (PBE-GGA)

Data for a geometry-optimized BeZnRh2 structure.

Cell: 4.1304 4.1304 4.1304 Å, 60.00 60.00 60.00°
Fractional positions:
Be (0.0000, 0.0000, 0.0000)
Zn (0.5000, 0.5000, 0.5000)
Rh (0.2500, 0.2500, 0.2500)
Rh (0.7500, 0.7500, 0.7500)

E_form = -0.41 eV per atom
Relative energy among the computed polymorphs = 5.3 kJ/mol of atoms
Space-group type = Fm-3m
Crystal system = cubic

***

> What is the formula in the first record?

CaH4Au